(1)
## SrBiI (PBE)

Data for a geometry-optimized SrBiI structure.

Results
offset from the most stable computed form: 111 meV per atom
energy relative to the elements, uncorrected: -1.0322 eV per atom
total magnetization: 0.00 μB/atom
symmetry: Cm (8)

Lattice parameters (Å, degrees): 4.9453 5.3084 12.0354 89.11 90.00 117.76
Last column: nearest neighbours and their distance in Å.
Fractional coordinates of all 6 atoms:
Bi1 0.0147 0.0293 0.2144  3 Bi 3.09-3.14
Bi2 0.3321 0.6643 0.1420  3 Bi 3.09-3.14, 1 Sr 3.34
Sr1 0.3724 0.7448 0.4171  3 I 3.33, 3 Bi 3.34-3.71
Sr2 0.6547 0.3093 0.9769  3 I 3.38-3.48, 3 Bi 3.59-3.60
I1 0.6895 0.3790 0.5370  3 Sr 3.33
I2 0.9848 0.9695 0.8418  3 Sr 3.38-3.48

***

(2)
## SrBiI (PBE)

Data for a geometry-optimized SrBiI structure.

Results
offset from the most stable computed form: 112 meV per atom
energy relative to the elements, uncorrected: -1.0312 eV per atom
total magnetization: 0.00 μB/atom
symmetry: C2/m (12)

Lattice parameters (Å, degrees): 5.0358 5.0358 12.2549 84.09 84.09 64.33
Last column: nearest neighbours and their distance in Å.
Fractional coordinates of all 6 atoms:
Sr1 0.9914 0.9914 0.7048  3 I 3.34-3.40, 3 Bi 3.63
Sr2 0.0086 0.0086 0.2952  3 I 3.34-3.40, 3 Bi 3.63
Bi1 0.6727 0.6727 0.5334  3 Bi 3.05-3.15
Bi2 0.3273 0.3273 0.4666  3 Bi 3.05-3.15
I1 0.6889 0.6889 0.1622  3 Sr 3.34-3.40
I2 0.3111 0.3111 0.8378  3 Sr 3.34-3.40

***

(3)
## Sr6BiTe3I2 (PBE)

Data for a geometry-optimized Sr6BiTe3I2 structure.

Results
energy relative to the elements, uncorrected: -1.4820 eV per atom
total magnetization: 0.00 μB/atom
symmetry: C2/m (12)

Lattice parameters (Å, degrees): 8.2691 8.2691 8.2888 99.50 99.50 119.89
Last column: nearest neighbours and their distance in Å.
Fractional coordinates of all 12 atoms:
Sr1 0.9131 0.5955 0.7393  3 Te 3.28-3.37, 1 Bi 3.33, 2 I 3.48-3.50
Sr2 0.7725 0.7725 0.2662  3 Te 3.33-3.43, 1 Bi 3.34, 2 I 3.50
Sr3 0.0869 0.4045 0.2607  3 Te 3.28-3.37, 1 Bi 3.33, 2 I 3.48-3.50
Sr4 0.5955 0.9131 0.7393  3 Te 3.28-3.37, 1 Bi 3.33, 2 I 3.48-3.50
Sr5 0.2275 0.2275 0.7338  3 Te 3.33-3.43, 1 Bi 3.34, 2 I 3.50
Sr6 0.4045 0.0869 0.2607  3 Te 3.28-3.37, 1 Bi 3.33, 2 I 3.48-3.50
Bi1 0.0000 0.0000 0.0000  6 Sr 3.33-3.34
Te1 0.1739 0.8261 0.5000  6 Sr 3.28-3.37
Te2 0.8261 0.1739 0.5000  6 Sr 3.28-3.37
Te3 0.5000 0.5000 0.5000  6 Sr 3.28-3.43
I1 0.3350 0.6650 0.0000  6 Sr 3.48-3.50
I2 0.6650 0.3350 0.0000  6 Sr 3.48-3.50

***

(4)
## Sr6Bi2Te3I (PBE)

Data for a geometry-optimized Sr6Bi2Te3I structure.

Results
energy relative to the elements, uncorrected: -1.3729 eV per atom
total magnetization: 0.00 μB/atom
symmetry: C2/m (12)

Lattice parameters (Å, degrees): 4.6106 9.9766 10.8020 103.67 102.32 90.00
Last column: nearest neighbours and their distance in Å.
Fractional coordinates of all 12 atoms:
Sr1 0.3257 0.9162 0.6514  3 Te 3.35-3.38, 2 Bi 3.40, 1 I 3.57
Sr2 0.6683 0.5884 0.3365  3 Te 3.41-3.45, 3 Bi 3.41-3.46
Sr3 0.6743 0.0838 0.3486  3 Te 3.35-3.38, 2 Bi 3.40, 1 I 3.57
Sr4 0.0024 0.2678 0.0049  3 Te 3.28-3.35, 1 Bi 3.34, 2 I 3.52
Sr5 0.9976 0.7322 0.9951  3 Te 3.28-3.35, 1 Bi 3.34, 2 I 3.52
Sr6 0.3317 0.4116 0.6635  3 Te 3.41-3.45, 3 Bi 3.41-3.46
Bi1 0.8350 0.6711 0.6700  6 Sr 3.34-3.46
Bi2 0.1650 0.3289 0.3300  6 Sr 3.34-3.46
Te1 0.5000 0.5000 0.0000  6 Sr 3.28-3.45
Te2 0.8393 0.1645 0.6787  6 Sr 3.35-3.41
Te3 0.1607 0.8355 0.3213  6 Sr 3.35-3.41
I1 0.5000 0.0000 0.0000  6 Sr 3.52-3.57

***

(5)
## SrTl2BiI6 (PBE)

Data for a geometry-optimized SrTl2BiI6 structure.

Results
energy relative to the elements, uncorrected: -0.7951 eV per atom
total magnetization: 0.10 μB/atom
symmetry: P1 (1)

Lattice parameters (Å, degrees): 9.1115 8.1528 9.4155 62.70 56.76 61.91
Last column: nearest neighbours and their distance in Å.
Fractional coordinates of all 10 atoms:
Sr1 0.8327 0.8159 0.5333  6 I 3.23-3.38
Tl1 0.4998 0.5313 0.4453  6 I 3.41-3.77
Tl2 0.9952 0.0376 0.9391  5 I 3.40-3.69
Bi1 0.3283 0.3207 0.0305  4 I 3.10-3.14
I1 0.6106 0.1579 0.2993  1 Sr 3.27, 2 Tl 3.40-3.41
I2 0.2190 0.9399 0.2268  1 Bi 3.11, 1 Sr 3.36
I3 0.9606 0.5635 0.2612  1 Bi 3.10, 1 Sr 3.38
I4 0.4426 0.6967 0.7797  1 Bi 3.12, 1 Sr 3.33
I5 0.6988 0.1200 0.7563  1 Bi 3.14, 1 Sr 3.34
I6 0.0740 0.4781 0.7438  1 Sr 3.23, 2 Tl 3.41-3.42

***

(6)
## TaBi2I (PBE)

Data for a geometry-optimized TaBi2I structure.

Results
offset from the most stable computed form: 151 meV per atom
energy relative to the elements, uncorrected: 0.9268 eV per atom
total magnetization: 0.00 μB/atom
symmetry: Fm-3m (225)

Lattice parameters (Å, degrees): 5.3667 5.3667 5.3667 60.00 60.00 60.00
Last column: nearest neighbours and their distance in Å.
Fractional coordinates of all 4 atoms:
I1 0.0000 0.0000 0.0000  8 Bi 3.29
Bi1 0.2500 0.2500 0.2500  4 Ta 3.29, 4 I 3.29
Bi2 0.7500 0.7500 0.7500  4 Ta 3.29, 4 I 3.29
Ta1 0.5000 0.5000 0.5000  8 Bi 3.29